## NaSrZnSe2 (PBE)

Data for a relaxed structure of NaSrZnSe2.

Cell lengths 4.817, 7.491, 8.050 Å; angles 100.97, 90.00, 90.00 degrees
Atoms (fractional coordinates):
Na 0.485 0.000 0.250
Na 0.515 0.000 0.750
Sr 0.194 0.500 0.750
Sr 0.806 0.500 0.250
Zn 0.000 0.000 0.000
Zn 0.000 0.000 0.500
Se 0.697 0.719 0.962
Se 0.697 0.281 0.538
Se 0.303 0.719 0.462
Se 0.303 0.281 0.038

Properties
For the final energy, the calculation gives -3.217 eV per atom. As for the energy relative to the elements, uncorrected: -0.968 eV per atom. The density comes out at 3.89 g/cm3. Its size of the total moment is 0.00 μB per formula unit.